(1)
LaZrI2 | PBE | relaxed

Cell lengths 3.685, 3.685, 10.947 Å; angles 80.31, 80.31, 60.00 degrees
Fractional positions:
I 0.102 0.102 0.694
Zr 0.500 0.500 0.500
I 0.898 0.898 0.306
La 0.000 0.000 0.000

relative energy among the computed polymorphs	0.0	kJ/mol of atoms
N(E_F)	1.223	states/eV/atom
calculated density	6.4	g cm⁻³
calculated volume	126.3	Å³/f.u.



(2)
LaZr2I | PBE | relaxed

Cell lengths 5.190, 5.190, 5.190 Å; angles 60.00, 60.00, 60.00 degrees
Fractional positions:
Zr 0.250 0.250 0.250
La 0.500 0.500 0.500
I 0.000 0.000 0.000
Zr 0.750 0.750 0.750

relative energy among the computed polymorphs	7.7	kJ/mol of atoms
N(E_F)	1.087	states/eV/atom
calculated density	7.5	g cm⁻³
calculated volume	98.8	Å³/f.u.



(3)
LaZr3I | PBE | relaxed

Cell lengths 5.259, 5.259, 5.259 Å; angles 90.00, 90.00, 90.00 degrees
Fractional positions:
Zr 0.000 0.000 0.500
I 0.500 0.500 0.500
Zr 0.500 0.000 0.000
La 0.000 0.000 0.000
Zr 0.000 0.500 0.000

relative energy among the computed polymorphs	67.3	kJ/mol of atoms
N(E_F)	0.951	states/eV/atom
calculated density	6.2	g cm⁻³
calculated volume	145.5	Å³/f.u.



(4)
LaZrI3 | PBE | relaxed

Cell lengths 5.675, 5.675, 5.675 Å; angles 90.00, 90.00, 90.00 degrees
Each line ends with the local moment (μB).
Fractional positions:
La 0.500 0.500 0.500  0.56
Zr 0.000 0.000 0.000  0.46
I 0.500 0.000 0.000  0.01
I 0.000 0.000 0.500  0.00
I 0.000 0.500 0.000  0.00

relative energy among the computed polymorphs	0.0	kJ/mol of atoms
N(E_F)	1.349	states/eV/atom
calculated density	5.5	g cm⁻³
calculated volume	182.8	Å³/f.u.



(5)
LaZrI2 | PBE | relaxed

Cell lengths 5.378, 5.378, 5.378 Å; angles 60.00, 60.00, 60.00 degrees
Fractional positions:
I 0.250 0.250 0.250
I 0.750 0.750 0.750
La 0.500 0.500 0.500
Zr 0.000 0.000 0.000

relative energy among the computed polymorphs	5.7	kJ/mol of atoms
N(E_F)	1.131	states/eV/atom
calculated density	7.3	g cm⁻³
calculated volume	110.0	Å³/f.u.



(6)
LaZr2I | PBE | relaxed

Cell lengths 8.791, 8.791, 6.930 Å; angles 50.63, 50.63, 90.00 degrees
Fractional positions:
Zr 0.375 0.435 0.750
La 0.000 0.000 0.000
Zr 0.185 0.625 0.250
Zr 0.875 0.815 0.750
La 0.750 0.250 0.500
I 0.250 0.750 0.500
I 0.500 0.500 0.000
Zr 0.565 0.125 0.250

relative energy among the computed polymorphs	0.0	kJ/mol of atoms
N(E_F)	1.712	states/eV/atom
calculated density	6.3	g cm⁻³
calculated volume	118.4	Å³/f.u.



(7)
LaZr3I | PBE | relaxed

Cell lengths 5.356, 5.356, 5.356 Å; angles 90.00, 90.00, 90.00 degrees
Each line ends with the local moment (μB).
Fractional positions:
Zr 0.500 0.000 0.000  0.25
I 0.000 0.000 0.000  -0.01
Zr 0.000 0.000 0.500  0.07
Zr 0.000 0.500 0.000  0.15
La 0.500 0.500 0.500  0.11

relative energy among the computed polymorphs	0.0	kJ/mol of atoms
N(E_F)	1.614	states/eV/atom
calculated density	5.8	g cm⁻³
calculated volume	153.7	Å³/f.u.



(8)
LiI5 | PBE | relaxed

Cell lengths 4.494, 4.501, 13.748 Å; angles 99.42, 90.00, 90.00 degrees
Fractional positions:
Li 0.000 0.000 0.000
I 0.500 0.500 0.000
I 0.500 0.167 0.333
I 0.500 0.833 0.667
I 0.000 0.667 0.333
I 0.000 0.333 0.667

N(E_F)	0.272	states/eV/atom
calculated density	3.9	g cm⁻³
calculated volume	274.3	Å³/f.u.



no.,VASP energy (eV per atom),formation energy without anion corrections (eV per formula unit)
1,-4.58,-1.74
2,-5.54,1.40
3,-5.16,6.34
4,-3.88,-1.25
5,-4.52,-1.50
6,-5.62,1.08
7,-5.85,2.85
8,-1.84,-1.38